(1)
# ZrRhAu3 GGA-PBEsol relaxed
# **DFT total energy**: -4.37 eV/atom
# **ΔH_f (0 K)**: 1.427 eV per atom
# **SG**: Pm-3m (221)
data_ZrRhAu3
_chemical_formula_sum 'Zr1 Rh1 Au3'
_cell_length_a 4.995
_cell_length_b 4.995
_cell_length_c 4.995
_cell_angle_alpha 90.00
_cell_angle_beta 90.00
_cell_angle_gamma 90.00
_space_group_name_H-M_alt 'P 1'
_space_group_IT_number 1
_space_group_name_Hall 'P 1'
loop_
_atom_site_label
_atom_site_type_symbol
_atom_site_fract_x
_atom_site_fract_y
_atom_site_fract_z
Au1 Au 0.500 0.000 0.000
Au2 Au 0.000 0.500 0.000
Au3 Au 0.000 0.000 0.500
Zr1 Zr 0.000 0.000 0.000
Rh1 Rh 0.500 0.500 0.500

(2)
# KMnCd2 GGA-PBEsol relaxed
# **DFT total energy**: -2.75 eV/atom
# **ΔH_f (0 K)**: 0.570 eV per atom
# **SG**: I-4m2 (119)
data_KMnCd2
_chemical_formula_sum 'K1 Mn1 Cd2'
_cell_length_a 5.081
_cell_length_b 5.066
_cell_length_c 5.081
_cell_angle_alpha 59.90
_cell_angle_beta 90.00
_cell_angle_gamma 120.10
_space_group_name_H-M_alt 'P 1'
_space_group_IT_number 1
_space_group_name_Hall 'P 1'
loop_
_atom_site_label
_atom_site_type_symbol
_atom_site_fract_x
_atom_site_fract_y
_atom_site_fract_z
Cd1 Cd 0.000 0.000 0.000
Cd2 Cd 0.250 0.500 0.250
Mn1 Mn 0.750 0.500 0.750
K1 K 0.500 0.000 0.500

(3)
# MnCr GGA-PBEsol relaxed
# **DFT total energy**: -9.91 eV/atom
# **ΔH_f (0 K)**: 0.093 eV per atom
# **SG**: Fd-3m (227)
data_MnCr
_chemical_formula_sum 'Mn2 Cr2'
_cell_length_a 3.931
_cell_length_b 3.931
_cell_length_c 3.931
_cell_angle_alpha 60.00
_cell_angle_beta 60.00
_cell_angle_gamma 60.00
_space_group_name_H-M_alt 'P 1'
_space_group_IT_number 1
_space_group_name_Hall 'P 1'
loop_
_atom_site_label
_atom_site_type_symbol
_atom_site_fract_x
_atom_site_fract_y
_atom_site_fract_z
Cr1 Cr 0.000 0.000 0.000
Cr2 Cr 0.250 0.250 0.250
Mn1 Mn 0.500 0.500 0.500
Mn2 Mn 0.750 0.750 0.750

(4)
# RbRu2I GGA-PBEsol relaxed
# **DFT total energy**: -4.31 eV/atom
# **SG**: Fm-3m (225)
# **Formation energy (no corrections)**: 1474 meV/atom
data_RbRu2I
_chemical_formula_sum 'Rb1 Ru2 I1'
_cell_length_a 4.728
_cell_length_b 4.728
_cell_length_c 4.728
_cell_angle_alpha 60.00
_cell_angle_beta 60.00
_cell_angle_gamma 60.00
_space_group_name_H-M_alt 'P 1'
_space_group_IT_number 1
_space_group_name_Hall 'P 1'
loop_
_atom_site_label
_atom_site_type_symbol
_atom_site_fract_x
_atom_site_fract_y
_atom_site_fract_z
I1 I 0.500 0.500 0.500
Rb1 Rb 0.000 0.000 0.000
Ru1 Ru 0.250 0.250 0.250
Ru2 Ru 0.750 0.750 0.750